Entry 1:
Sm2GeSbPd6 | PBE | relaxed

Properties
crystal system = triclinic
calculated total energy = -5.62 eV/atom
space group = No. 2
formation energy without anion corrections = -6.84 eV/f.u.
V = 197 Å³/cell

Cell: 5.4776 6.5863 6.6240 Å, 74.50 65.59 65.49°
Closest atoms and distances in Å follow each position.
Sites, in units of the cell vectors:
Sm  0.9998  0.2480  0.2521  7 Pd 2.91-3.17
Sm  0.0002  0.7520  0.7479  7 Pd 2.91-3.17
Ge  0.5000  0.0000  0.5000  6 Pd 2.50-2.60
Sb  0.5000  0.5000  0.0000  6 Pd 2.61-2.75
Pd  0.0114  0.1809  0.7987  1 Ge 2.60, 3 Pd 2.73-2.83, 1 Sb 2.75
Pd  0.3233  0.4188  0.4337  1 Ge 2.50, 1 Sb 2.61
Pd  0.4906  0.8192  0.2018  1 Ge 2.59, 3 Pd 2.73-2.83, 1 Sb 2.75
Pd  0.5094  0.1808  0.7982  1 Ge 2.59, 3 Pd 2.73-2.83, 1 Sb 2.75
Pd  0.6767  0.5812  0.5663  1 Ge 2.50, 1 Sb 2.61
Pd  0.9886  0.8191  0.2013  1 Ge 2.60, 3 Pd 2.73-2.83, 1 Sb 2.75

Entry 2:
Sn2GeSb2Pd7 | PBE | relaxed

Properties
crystal system = monoclinic
calculated total energy = -5.09 eV/atom
space group = No. 12
formation energy without anion corrections = -3.89 eV/f.u.
V = 238 Å³/cell

Cell: 3.9681 3.9681 15.2204 Å, 93.99 93.99 90.27°
Closest atoms and distances in Å follow each position.
Sites, in units of the cell vectors:
Sn  0.0678  0.0678  0.2474  5 Pd 2.66-2.69
Sn  0.9322  0.9322  0.7526  5 Pd 2.66-2.69
Ge  0.5000  0.5000  0.0000  12 Pd 2.77-2.81
Sb  0.3662  0.3662  0.5894  5 Pd 2.73-2.82
Sb  0.6338  0.6338  0.4106  5 Pd 2.73-2.82
Pd  0.0000  0.0000  0.0000  8 Pd 2.77-2.78, 4 Ge 2.80-2.81
Pd  0.0347  0.5350  0.1279  2 Sn 2.68-2.69, 6 Pd 2.77-2.81, 2 Ge 2.77
Pd  0.1350  0.1350  0.4228  1 Sn 2.66, 5 Sb 2.73-2.82, 1 Pd 2.92
Pd  0.4650  0.9653  0.8721  2 Sn 2.68-2.69, 6 Pd 2.77-2.81, 2 Ge 2.77
Pd  0.5350  0.0347  0.1279  2 Sn 2.68-2.69, 6 Pd 2.77-2.81, 2 Ge 2.77
Pd  0.8650  0.8650  0.5772  1 Sn 2.66, 5 Sb 2.73-2.82, 1 Pd 2.92
Pd  0.9653  0.4650  0.8721  2 Sn 2.68-2.69, 6 Pd 2.77-2.81, 2 Ge 2.77

What did the first record say?
Sm2GeSbPd6 | PBE | relaxed

Properties
crystal system = triclinic
calculated total energy = -5.62 eV/atom
space group = No. 2
formation energy without anion corrections = -6.84 eV/f.u.
V = 197 Å³/cell

Cell: 5.4776 6.5863 6.6240 Å, 74.50 65.59 65.49°
Closest atoms and distances in Å follow each position.
Sites, in units of the cell vectors:
Sm  0.9998  0.2480  0.2521  7 Pd 2.91-3.17
Sm  0.0002  0.7520  0.7479  7 Pd 2.91-3.17
Ge  0.5000  0.0000  0.5000  6 Pd 2.50-2.60
Sb  0.5000  0.5000  0.0000  6 Pd 2.61-2.75
Pd  0.0114  0.1809  0.7987  1 Ge 2.60, 3 Pd 2.73-2.83, 1 Sb 2.75
Pd  0.3233  0.4188  0.4337  1 Ge 2.50, 1 Sb 2.61
Pd  0.4906  0.8192  0.2018  1 Ge 2.59, 3 Pd 2.73-2.83, 1 Sb 2.75
Pd  0.5094  0.1808  0.7982  1 Ge 2.59, 3 Pd 2.73-2.83, 1 Sb 2.75
Pd  0.6767  0.5812  0.5663  1 Ge 2.50, 1 Sb 2.61
Pd  0.9886  0.8191  0.2013  1 Ge 2.60, 3 Pd 2.73-2.83, 1 Sb 2.75

> Look up the calculated total energy of the second one.

-5.09 eV/atom

> The lowest formation energy without anion corrections belongs to which entry?

Sm2GeSbPd6